Entry 1:
This record from the Alexandria database describes Ba2LaTl after structural relaxation. The functional is PBE.

Cell lengths 4.437, 5.827, 12.973 Å; angles 90.00, 90.00, 90.00 degrees
Fractional positions:
Ba 0.000 0.000 0.214
Ba 0.000 0.000 0.786
Ba 0.500 0.500 0.286
Ba 0.500 0.500 0.714
La 0.000 0.500 0.000
La 0.500 0.000 0.500
Tl 0.000 0.500 0.500
Tl 0.500 0.000 0.000

Values from the calculation:
- E (eV per atom) = -2.846
- energy above the most stable polymorph in this dataset (kJ/mol of atoms) = 19.14

***

Entry 2:
This record from the Alexandria database describes Ba2LaTl after structural relaxation. The functional is PBE.

Cell lengths 5.258, 5.258, 11.518 Å; angles 90.00, 90.00, 90.00 degrees
Fractional positions:
Ba 0.000 0.500 0.250
Ba 0.000 0.500 0.750
Ba 0.500 0.000 0.250
Ba 0.500 0.000 0.750
La 0.000 0.000 0.000
La 0.500 0.500 0.500
Tl 0.000 0.000 0.500
Tl 0.500 0.500 0.000

Values from the calculation:
- E (eV per atom) = -2.834
- energy above the most stable polymorph in this dataset (kJ/mol of atoms) = 20.28

***

Entry 3:
This record from the Alexandria database describes BaLaTl after structural relaxation. The functional is PBE.

Cell lengths 7.959, 4.851, 11.261 Å; angles 90.00, 90.00, 90.00 degrees
Fractional positions:
Ba 0.131 0.250 0.085
Ba 0.369 0.750 0.585
Ba 0.631 0.250 0.415
Ba 0.869 0.750 0.915
La 0.111 0.250 0.389
La 0.389 0.750 0.889
La 0.611 0.250 0.111
La 0.889 0.750 0.611
Tl 0.130 0.250 0.744
Tl 0.370 0.750 0.244
Tl 0.630 0.250 0.756
Tl 0.870 0.750 0.256

Values from the calculation:
- E (eV per atom) = -3.237
- energy above the most stable polymorph in this dataset (kJ/mol of atoms) = 12.91

***

Calculated spin magnetization (μB/f.u.), listed in the same order as above: 0.001; 0.000; 0.000